CoRhF5 | PBE with a Hubbard U | relaxed

Structure (POSCAR):
```
CoRhF5
1.0
3.9425 -4.1264 0.0000
3.9425 4.1264 0.0000
-3.7987 0.0000 6.5954
Co Rh F
2 2 10
direct
0.1237 0.8763 0.7500
0.8763 0.1237 0.2500
0.5000 0.5000 0.0000
0.5000 0.5000 0.5000
0.1753 0.2430 0.8380
0.2098 0.6776 0.5259
0.2430 0.1753 0.3380
0.3224 0.7902 0.9741
0.4186 0.5814 0.2500
0.5814 0.4186 0.7500
0.6776 0.2098 0.0259
0.7570 0.8247 0.6620
0.7902 0.3224 0.4741
0.8247 0.7570 0.1620
```

Results
DFT total energy: -4.827 eV/atom
total magnetic moment: 3.0 μB per formula unit
theoretical density: 4.0 g/cm3